# 1
The following is a DFT calculation (PBE) of crystalline RhS2ClO at its relaxed geometry.

a b c (Å): 4.1748 4.1748 4.4924
angles (deg): 90.00 90.00 90.00
Closest atoms and distances in Å follow each position.
Element x y z (fractional)
1 S 0.5000 0.0000 0.0000  2 O 2.09
2 S 0.0000 0.5000 0.0000  2 O 2.09
3 Cl 0.0000 0.0000 0.5000  2 O 2.25
4 O 0.0000 0.0000 0.0000  4 S 2.09, 2 Cl 2.25
5 Rh 0.5000 0.5000 0.5000  4 Cl 2.95, 8 S 3.07

Results
Its total energy is -3.46 eV per atom. As for the uncorrected formation energy: 1.025 eV/atom. The value obtained for the total magnetic moment is 2.1 μB per formula unit.

# 2
The following is a DFT calculation (PBE) of crystalline TmNiAu at its relaxed geometry.

a b c (Å): 3.5199 3.5199 5.0878
angles (deg): 110.24 110.24 90.00
Closest atoms and distances in Å follow each position.
Element x y z (fractional)
1 Tm 0.6103 0.6103 0.2206  5 Ni 2.86-3.04, 5 Au 2.87-2.94
2 Au 0.2873 0.2873 0.5746  5 Tm 2.87-2.94, 5 Ni 2.89-2.97
3 Ni 0.9524 0.9524 0.9048  5 Tm 2.86-3.04, 5 Au 2.89-2.97

Results
Its total energy is -5.04 eV per atom. The value obtained for the total magnetic moment is 0.0 μB per formula unit. The value obtained for the formation energy is -529 meV/atom.

# 3
The following is a DFT calculation (PBE) of crystalline CaThAlAu at its relaxed geometry.

a b c (Å): 5.2470 5.2470 5.2470
angles (deg): 60.00 60.00 60.00
Closest atoms and distances in Å follow each position.
Element x y z (fractional)
1 Th 0.7500 0.7500 0.7500  4 Au 3.21, 4 Al 3.21
2 Al 0.5000 0.5000 0.5000  4 Th 3.21, 4 Ca 3.21
3 Au 0.0000 0.0000 0.0000  4 Ca 3.21, 4 Th 3.21
4 Ca 0.2500 0.2500 0.2500  4 Al 3.21, 4 Au 3.21

Results
Its total energy is -4.51 eV per atom. The value obtained for the total magnetic moment is 0.0 μB per formula unit. The value obtained for the formation energy is -404 meV/atom.

# 4
The following is a DFT calculation (PBE) of crystalline SmTmLu at its relaxed geometry.

a b c (Å): 3.5199 3.5199 7.9098
angles (deg): 102.86 102.86 90.00
Closest atoms and distances in Å follow each position.
Element x y z (fractional)
1 Lu 0.6684 0.6684 0.3368  4 Tm 3.49, 4 Lu 3.52, 4 Sm 3.54
2 Sm 0.0003 0.0003 0.0007  4 Sm 3.52, 4 Lu 3.54, 4 Tm 3.55
3 Tm 0.3313 0.3313 0.6626  4 Lu 3.49, 4 Tm 3.52, 4 Sm 3.55

Results
Its total energy is -4.54 eV per atom. The value obtained for the total magnetic moment is 0.0 μB per formula unit. The value obtained for the formation energy is 29 meV/atom.

# 5
The following is a DFT calculation (PBE) of crystalline Mg2VHgAs at its relaxed geometry.

a b c (Å): 5.0363 4.9974 5.0363
angles (deg): 90.00 90.00 90.00
Closest atoms and distances in Å follow each position.
Element x y z (fractional)
1 Mg 0.0000 0.0000 0.5000  2 Hg 2.52
2 Mg 0.5000 0.0000 0.0000  2 Hg 2.52
3 Hg 0.0000 0.0000 0.0000  2 V 2.50, 4 Mg 2.52
4 V 0.0000 0.5000 0.0000  2 Hg 2.50
5 As 0.5000 0.5000 0.5000  8 Mg 3.55, 4 V 3.56

Results
Its total energy is -2.64 eV per atom. The value obtained for the total magnetic moment is 0.2 μB per formula unit. The value obtained for the formation energy is 812 meV/atom.

# 6
The following is a DFT calculation (PBE) of crystalline Hg2RuPb at its relaxed geometry.

a b c (Å): 10.2692 10.2692 10.2692
angles (deg): 17.98 17.98 17.98
Closest atoms and distances in Å follow each position.
Element x y z (fractional)
1 Hg 0.0123 0.0123 0.0123  3 Ru 2.84
2 Hg 0.4877 0.4877 0.4877  3 Ru 2.84
3 Ru 0.7500 0.7500 0.7500  6 Hg 2.84
4 Pb 0.2500 0.2500 0.2500  6 Pb 3.21, 6 Hg 3.44

Results
Its total energy is -2.90 eV per atom. The value obtained for the total magnetic moment is 1.1 μB per formula unit. The value obtained for the formation energy is 493 meV/atom.